Compound: ErCd2Pd
Source: Alexandria via LeMat-Bulk
Functional: PBE
Structure: relaxed Values from VASP.

* V: 20.66 A^3/atom
* ΔH_f (0 K): -366 meV per atom
* SG: Fm-3m, No. 225

```
&SYSTEM
  ibrav = 0, nat = 4, ntyp = 3
/
ATOMIC_SPECIES
Er 167.26 Er.upf
Cd 112.41 Cd.upf
Pd 106.42 Pd.upf
CELL_PARAMETERS angstrom
0.000 3.457 3.457
3.457 0.000 3.457
3.457 3.457 0.000
ATOMIC_POSITIONS angstrom
Er 0.000 0.000 0.000
Cd 1.729 1.729 1.729
Cd 5.186 5.186 5.186
Pd 3.457 3.457 3.457
```


Compound: MnRh3
Source: Alexandria via LeMat-Bulk
Functional: PBE
Structure: relaxed Values from VASP.

* V: 13.90 A^3/atom
* ΔH_f (0 K): -74 meV per atom
* SG: Pmmn, No. 59

```
&SYSTEM
  ibrav = 0, nat = 8, ntyp = 2
/
ATOMIC_SPECIES
Mn 54.94 Mn.upf
Rh 102.91 Rh.upf
CELL_PARAMETERS angstrom
4.339 0.000 0.000
0.000 5.455 0.000
0.000 0.000 4.699
ATOMIC_POSITIONS angstrom
Mn 1.085 1.364 0.813
Mn 3.254 4.091 3.886
Rh 1.085 0.001 3.149
Rh 1.085 2.726 3.149
Rh 1.085 4.091 0.769
Rh 3.254 5.454 1.551
Rh 3.254 1.364 3.930
Rh 3.254 2.729 1.551
```


Compound: PuHf2NpAs4
Source: Alexandria via LeMat-Bulk
Functional: PBE
Structure: relaxed Values from VASP.

* V: 22.08 A^3/atom
* ΔH_f (0 K): -968 meV per atom
* SG: P2/m, No. 10

```
&SYSTEM
  ibrav = 0, nat = 8, ntyp = 4
/
ATOMIC_SPECIES
Pu 244.00 Pu.upf
Hf 178.49 Hf.upf
Np 237.00 Np.upf
As 74.92 As.upf
CELL_PARAMETERS angstrom
6.876 0.000 0.000
0.000 3.956 0.000
-2.272 0.000 6.495
ATOMIC_POSITIONS angstrom
Pu 0.000 0.000 0.000
Hf 2.302 0.000 3.247
Hf 3.438 1.978 0.000
Np -1.136 1.978 3.247
As 0.130 0.000 4.903
As 1.262 1.978 1.665
As 4.474 0.000 1.592
As 3.342 1.978 4.830
```